This record from Alexandria describes an optimized crystal structure of CrCoNi2. The functional is GGA-PBE.

a b c (Å): 8.2550 2.4585 4.3652
angles (deg): 90.00 99.13 90.00
With the nearest neighbours (Å) after each atom.
Space group Cm (No. 8)
Symmetry-distinct sites (fractional):
Cr (0.0000, 0.0000, 0.0000) [2 per cell]  3 Co 2.46-2.50, 2 Cr 2.46, 7 Ni 2.49-2.51
Co (0.2485, 0.0000, 0.7554) [2 per cell]  3 Cr 2.46-2.50, 2 Co 2.46, 7 Ni 2.49-2.52
Ni (0.0014, 0.5000, 0.5020) [2 per cell]  5 Ni 2.46-2.51, 3 Co 2.49-2.51, 4 Cr 2.50-2.51
Ni (0.2500, 0.5000, 0.2519) [2 per cell]  5 Ni 2.46-2.51, 3 Cr 2.49-2.50, 4 Co 2.49-2.52

Summary:
Crystal system = monoclinic
E_form = 62 meV/atom